Entry 1:
This record from Alexandria describes crystalline CaH2OF at its relaxed geometry. The functional is PBE.

Summary:
- E_tot (eV/atom) = -4.7608
- space-group type = P1 (1)
- ΔE to the lowest computed polymorph (eV/atom) = 0.058

a b c (Å): 3.542 3.624 4.381
angles (deg): 81.31 72.75 74.05
Element x y z (fractional)
Ca 0.000 0.000 0.000
H 0.690 0.287 0.565
H 0.705 0.579 0.570
O 0.703 0.918 0.592
F 0.324 0.395 0.107

Entry 2:
This record from Alexandria describes crystalline CaH2OF at its relaxed geometry. The functional is PBE.

Summary:
- E_tot (eV/atom) = -4.8185
- space-group type = P1 (1)
- ΔE to the lowest computed polymorph (eV/atom) = 0.000

a b c (Å): 3.551 4.138 5.702
angles (deg): 70.85 89.64 64.71
Element x y z (fractional)
Ca 0.000 0.000 0.000
H 0.357 0.299 0.563
H 0.568 0.869 0.579
O 0.489 0.028 0.689
F 0.312 0.376 0.028